# 1
Below is SrBeTc2 after structural relaxation, with properties calculated at the PBE-GGA level.

Cell and atoms, written as POSCAR:
```
SrBeTc2
1.0
9.4497 -0.0008 -0.0005
9.0185 2.8220 -0.0005
9.0185 1.3777 2.4628
Sr Be Tc
1 1 2
direct
0.7500 0.7500 0.7500
0.2500 0.2500 0.2500
0.9836 0.9836 0.9836
0.5164 0.5164 0.5164
```



# 2
Below is Ho5ErAl4 after structural relaxation, with properties calculated at the PBE-GGA level.

Cell and atoms, written as POSCAR:
```
Ho5ErAl4
1.0
-0.5876 -2.8081 2.0999
0.6167 -2.1788 -2.7410
18.9796 -0.4883 4.6581
Al Ho Er
4 5 1
direct
0.0000 0.0000 0.2201
0.0000 0.0000 0.4069
0.0000 0.0000 0.7799
0.0000 0.0000 0.5931
0.5000 0.5000 0.6860
0.5000 0.5000 0.3140
0.5000 0.5000 0.1266
0.5000 0.5000 0.8734
0.5000 0.5000 0.5000
0.0000 0.0000 0.0000
```



For each record above, in turn, the calculated energy values are -5.624 -4.553 eV/atom.
For each record above, in turn, the calculated calculated formation energy values are 0.91 -0.31 eV per atom.
For each record above, in turn, the calculated D(E_F) values are 1.54 0.74 states/eV per atom.